[1]
VASP calculation (PBEsol) on a relaxed Ti2SiNiSb crystal.

Cell lengths 4.9534, 4.9534, 4.4522 Å; angles 90.00, 90.00, 90.00 degrees
Last column: nearest neighbours and their distance in Å.
Element x y z (fractional)
Ti (0.0000, 0.5000, 0.0000)  2 Sb 2.48
Ti (0.5000, 0.0000, 0.0000)  2 Sb 2.48
Si (0.0000, 0.0000, 0.5000)  8 Ti 3.33, 4 Ni 3.50
Ni (0.5000, 0.5000, 0.5000)  2 Sb 2.23
Sb (0.5000, 0.5000, 0.0000)  2 Ni 2.23, 4 Ti 2.48

Results
As for the formation energy without anion corrections: 938 meV per atom. As for the total moment: 1.0 μB per formula unit.

[2]
VASP calculation (PBEsol) on a relaxed Ni3SnSb crystal.

Cell lengths 4.6056, 4.6056, 4.6056 Å; angles 90.00, 90.00, 90.00 degrees
Last column: nearest neighbours and their distance in Å.
Element x y z (fractional)
Ni (0.0000, 0.0000, 0.5000)  2 Sb 2.30
Ni (0.0000, 0.5000, 0.0000)  2 Sb 2.30
Ni (0.5000, 0.0000, 0.0000)  2 Sb 2.30
Sn (0.5000, 0.5000, 0.5000)  12 Ni 3.26
Sb (0.0000, 0.0000, 0.0000)  6 Ni 2.30

Results
As for the formation energy without anion corrections: 665 meV per atom. As for the total moment: 0.0 μB per formula unit.

[3]
VASP calculation (PBEsol) on a relaxed Ni4Sn3Sb9 crystal.

Cell lengths 7.8569, 7.8569, 9.0209 Å; angles 125.02, 125.02, 71.28 degrees
Last column: nearest neighbours and their distance in Å.
Element x y z (fractional)
Ni (0.2467, 0.7533, 0.0000)  5 Sb 2.52-2.53, 1 Sn 2.57
Ni (0.2482, 0.7476, 0.5007)  4 Sb 2.51-2.52, 2 Sn 2.55
Ni (0.7476, 0.2482, 0.5007)  4 Sb 2.51-2.52, 2 Sn 2.55
Ni (0.7533, 0.2467, 0.0000)  5 Sb 2.52-2.53, 1 Sn 2.57
Sn (0.0842, 0.0842, 0.6756)  2 Ni 2.55
Sn (0.4154, 0.4154, 0.0060)  2 Ni 2.57, 1 Sn 2.87
Sn (0.4172, 0.4172, 0.3255)  2 Ni 2.55
Sb (0.0877, 0.0877, 0.9960)  2 Ni 2.53
Sb (0.2437, 0.5716, 0.6593)  2 Ni 2.51-2.53
Sb (0.2529, 0.9223, 0.3404)  2 Ni 2.52-2.53
Sb (0.5716, 0.2437, 0.6593)  2 Ni 2.51-2.53
Sb (0.5879, 0.9086, 0.8334)  2 Ni 2.52-2.53
Sb (0.5901, 0.9088, 0.1689)  2 Ni 2.51-2.52
Sb (0.9086, 0.5879, 0.8334)  2 Ni 2.52-2.53
Sb (0.9088, 0.5901, 0.1689)  2 Ni 2.51-2.52
Sb (0.9223, 0.2529, 0.3404)  2 Ni 2.52-2.53

Results
As for the formation energy without anion corrections: -176 meV per atom. As for the total moment: 0.0 μB per formula unit.

[4]
VASP calculation (PBEsol) on a relaxed SrNiSb crystal.

Cell lengths 5.2986, 5.2986, 5.2986 Å; angles 138.91, 128.59, 67.82 degrees
Last column: nearest neighbours and their distance in Å.
Element x y z (fractional)
Sr (0.0000, 0.0000, 0.0000)  5 Sb 3.05-3.25, 5 Ni 3.16-3.28
Ni (0.6266, 0.6266, 0.0000)  1 Sb 2.47
Sb (0.3463, 0.3463, 0.0000)  1 Ni 2.47

Results
As for the formation energy without anion corrections: 1 meV per atom. As for the total moment: 0.0 μB per formula unit.

[5]
VASP calculation (PBEsol) on a relaxed Ta2NiSb crystal.

Cell lengths 3.0038, 3.0038, 7.5413 Å; angles 90.00, 90.00, 99.91 degrees
Last column: nearest neighbours and their distance in Å.
Element x y z (fractional)
Ta (0.0000, 0.0000, 0.2156)  4 Ni 2.53-2.82
Ta (0.0000, 0.0000, 0.7844)  4 Ni 2.53-2.82
Ni (0.5000, 0.5000, 0.0000)  8 Ta 2.53-2.82
Sb (0.5000, 0.5000, 0.5000)  8 Ta 2.89-3.14, 4 Sb 3.00

Results
As for the formation energy without anion corrections: 112 meV per atom. As for the total moment: 0.0 μB per formula unit.

[6]
VASP calculation (PBEsol) on a relaxed Ta2NiSb crystal.

Cell lengths 3.4236, 3.4236, 5.7608 Å; angles 90.00, 90.00, 90.00 degrees
Last column: nearest neighbours and their distance in Å.
Element x y z (fractional)
Ta (0.0000, 0.0000, 0.0000)  2 Ni 2.75-3.01, 4 Ta 2.80, 4 Sb 2.89
Ta (0.5000, 0.5000, 0.2459)  2 Sb 2.76-3.00, 4 Ni 2.77, 4 Ta 2.80
Ni (0.0000, 0.0000, 0.4780)  6 Ta 2.75-3.01, 4 Sb 2.81
Sb (0.5000, 0.5000, 0.7256)  6 Ta 2.76-3.00, 4 Ni 2.81

Results
As for the formation energy without anion corrections: -19 meV per atom. As for the total moment: 0.0 μB per formula unit.

[7]
VASP calculation (PBEsol) on a relaxed TaNi6Sb crystal.

Cell lengths 6.3204, 6.3204, 10.3436 Å; angles 90.00, 90.00, 109.30 degrees
Last column: nearest neighbours and their distance in Å.
Element x y z (fractional)
Ta (0.0000, 0.0000, 0.2494)  12 Ni 2.52-2.59
Ta (0.0000, 0.0000, 0.7506)  12 Ni 2.52-2.59
Ta (0.2456, 0.7544, 0.5000)  12 Ni 2.51-2.62
Ta (0.7544, 0.2456, 0.5000)  12 Ni 2.51-2.62
Ni (0.0000, 0.0000, 0.0000)  2 Sb 2.56, 2 Ta 2.58, 8 Ni 2.58
Ni (0.0000, 0.0000, 0.5000)  4 Ta 2.53-2.59, 8 Ni 2.56
Ni (0.1209, 0.3690, 0.1300)  1 Ta 2.52, 8 Ni 2.56-2.69, 3 Sb 2.58-2.65
Ni (0.1209, 0.3690, 0.8700)  1 Ta 2.52, 8 Ni 2.56-2.69, 3 Sb 2.58-2.65
Ni (0.1209, 0.3731, 0.3784)  8 Ni 2.52-2.60, 3 Ta 2.52-2.60, 1 Sb 2.62
Ni (0.1209, 0.3731, 0.6216)  8 Ni 2.52-2.60, 3 Ta 2.52-2.60, 1 Sb 2.62
Ni (0.2475, 0.7525, 0.2571)  2 Ta 2.51-2.55, 8 Ni 2.53-2.64, 2 Sb 2.60-2.66
Ni (0.2475, 0.7525, 0.7429)  2 Ta 2.51-2.55, 8 Ni 2.53-2.64, 2 Sb 2.60-2.66
Ni (0.3690, 0.1209, 0.1300)  1 Ta 2.52, 8 Ni 2.56-2.69, 3 Sb 2.58-2.65
Ni (0.3690, 0.1209, 0.8700)  1 Ta 2.52, 8 Ni 2.56-2.69, 3 Sb 2.58-2.65
Ni (0.3731, 0.1209, 0.3784)  8 Ni 2.52-2.60, 3 Ta 2.52-2.60, 1 Sb 2.62
Ni (0.3731, 0.1209, 0.6216)  8 Ni 2.52-2.60, 3 Ta 2.52-2.60, 1 Sb 2.62
Ni (0.5000, 0.5000, 0.0000)  4 Sb 2.59, 8 Ni 2.63
Ni (0.5000, 0.5000, 0.5000)  2 Sb 2.58, 8 Ni 2.59, 2 Ta 2.62
Ni (0.6269, 0.8791, 0.3784)  8 Ni 2.52-2.60, 3 Ta 2.52-2.60, 1 Sb 2.62
Ni (0.6269, 0.8791, 0.6216)  8 Ni 2.52-2.60, 3 Ta 2.52-2.60, 1 Sb 2.62
Ni (0.6310, 0.8791, 0.1300)  1 Ta 2.52, 8 Ni 2.56-2.69, 3 Sb 2.58-2.65
Ni (0.6310, 0.8791, 0.8700)  1 Ta 2.52, 8 Ni 2.56-2.69, 3 Sb 2.58-2.65
Ni (0.7525, 0.2475, 0.2571)  2 Ta 2.51-2.55, 8 Ni 2.53-2.64, 2 Sb 2.60-2.66
Ni (0.7525, 0.2475, 0.7429)  2 Ta 2.51-2.55, 8 Ni 2.53-2.64, 2 Sb 2.60-2.66
Ni (0.8791, 0.6269, 0.3784)  8 Ni 2.52-2.60, 3 Ta 2.52-2.60, 1 Sb 2.62
Ni (0.8791, 0.6269, 0.6216)  8 Ni 2.52-2.60, 3 Ta 2.52-2.60, 1 Sb 2.62
Ni (0.8791, 0.6310, 0.1300)  1 Ta 2.52, 8 Ni 2.56-2.69, 3 Sb 2.58-2.65
Ni (0.8791, 0.6310, 0.8700)  1 Ta 2.52, 8 Ni 2.56-2.69, 3 Sb 2.58-2.65
Sb (0.2483, 0.7517, 0.0000)  12 Ni 2.56-2.66
Sb (0.5000, 0.5000, 0.2505)  12 Ni 2.58-2.62
Sb (0.5000, 0.5000, 0.7495)  12 Ni 2.58-2.62
Sb (0.7517, 0.2483, 0.0000)  12 Ni 2.56-2.66

Results
As for the formation energy without anion corrections: -256 meV per atom. As for the total moment: 0.0 μB per formula unit.

[8]
VASP calculation (PBEsol) on a relaxed TbNiSb crystal.

Cell lengths 4.4367, 4.4367, 4.4367 Å; angles 60.00, 60.00, 60.00 degrees
Last column: nearest neighbours and their distance in Å.
Element x y z (fractional)
Tb (0.0000, 0.0000, 0.0000)  4 Ni 2.72
Ni (0.7500, 0.7500, 0.7500)  4 Tb 2.72, 4 Sb 2.72
Sb (0.5000, 0.5000, 0.5000)  4 Ni 2.72

Results
As for the formation energy without anion corrections: -945 meV per atom. As for the total moment: 0.0 μB per formula unit.

Q: What is the formula in the first record?
A: Ti2SiNiSb

Please write out number 1 again, unchanged.
VASP calculation (PBEsol) on a relaxed Ti2SiNiSb crystal.

Cell lengths 4.9534, 4.9534, 4.4522 Å; angles 90.00, 90.00, 90.00 degrees
Last column: nearest neighbours and their distance in Å.
Element x y z (fractional)
Ti (0.0000, 0.5000, 0.0000)  2 Sb 2.48
Ti (0.5000, 0.0000, 0.0000)  2 Sb 2.48
Si (0.0000, 0.0000, 0.5000)  8 Ti 3.33, 4 Ni 3.50
Ni (0.5000, 0.5000, 0.5000)  2 Sb 2.23
Sb (0.5000, 0.5000, 0.0000)  2 Ni 2.23, 4 Ti 2.48

Results
As for the formation energy without anion corrections: 938 meV per atom. As for the total moment: 1.0 μB per formula unit.